No. 1
Compound: NaLiCoPt2
Source: the Alexandria database
Functional: PBE
Structure: relaxed

The space group is P4/mmm (No. 123) and the conventional cell measures 4.747, 4.747 and 3.745 Å, with angles of 90.00, 90.00 and 90.00 degrees. Symmetry generates all atoms from Na at (0.000, 0.000, 0.000), Li at (0.000, 0.000, 0.500), Co at (0.500, 0.500, 0.500) and Pt at (0.000, 0.500, 0.000).

The energy of formation from the pure elements comes out at 1.08 eV per atom.



No. 2
Compound: NaLiCo2Ru
Source: the Alexandria database
Functional: PBE
Structure: relaxed

The space group is P4/mmm (No. 123) and the conventional cell measures 4.223, 4.223 and 3.802 Å, with angles of 90.00, 90.00 and 90.00 degrees. Symmetry generates all atoms from Na at (0.000, 0.000, 0.000), Li at (0.000, 0.000, 0.500), Co at (0.000, 0.500, 0.500) and Ru at (0.500, 0.500, 0.000).

The energy of formation from the pure elements comes out at 1.17 eV per atom.



No. 3
Compound: Na2LiCoRu
Source: the Alexandria database
Functional: PBE
Structure: relaxed

The space group is P4/mmm (No. 123) and the conventional cell measures 5.308, 5.308 and 4.310 Å, with angles of 90.00, 90.00 and 90.00 degrees. Symmetry generates all atoms from Na at (0.000, 0.500, 0.000), Li at (0.000, 0.000, 0.500), Co at (0.500, 0.500, 0.000) and Ru at (0.500, 0.500, 0.500).

The energy of formation from the pure elements comes out at 0.84 eV per atom.



No. 4
Compound: NaLiScCo2
Source: the Alexandria database
Functional: PBE
Structure: relaxed

The space group is P4/mmm (No. 123) and the conventional cell measures 4.605, 4.605 and 4.933 Å, with angles of 90.00, 90.00 and 90.00 degrees. Symmetry generates all atoms from Na at (0.000, 0.000, 0.000), Li at (0.500, 0.500, 0.500), Sc at (0.000, 0.000, 0.500) and Co at (0.000, 0.500, 0.000).

The energy of formation from the pure elements comes out at 1.50 eV per atom.